(w)
First-principles (GGA-PBE) data for a relaxed structure of CsBeN, as listed in Alexandria.

```
CsBeN
1.0
-2.030 -5.454 -2.522
-0.225 -1.297 2.986
-10.667 3.616 0.767
Cs N Be
4 4 4
Direct
0.922 0.250 0.344
0.078 0.750 0.656
0.422 0.250 0.156
0.578 0.750 0.844
0.624 0.750 0.568
0.376 0.250 0.432
0.876 0.250 0.068
0.124 0.750 0.932
0.566 0.250 0.543
0.066 0.250 0.957
0.434 0.750 0.457
0.934 0.750 0.043
```

mass density: 4.432 g/cm3


(x)
First-principles (GGA-PBE) data for a relaxed structure of CsBeN, as listed in Alexandria.

```
CsBeN
1.0
-2.538 6.282 -1.738
-3.022 -1.160 0.218
-0.288 2.575 9.728
Cs N Be
4 4 4
Direct
0.514 0.250 0.676
0.014 0.250 0.824
0.986 0.750 0.176
0.486 0.750 0.324
0.154 0.250 0.472
0.846 0.750 0.528
0.346 0.750 0.972
0.654 0.250 0.028
0.912 0.250 0.509
0.412 0.250 0.991
0.588 0.750 0.009
0.088 0.750 0.491
```

mass density: 4.534 g/cm3


Name the least stable of them. (w).


(w)
First-principles (GGA-PBE) data for a relaxed structure of CsBeTe2N, as listed in Alexandria.

```
CsBeTe2N
1.0
6.793 0.000 0.000
0.000 6.793 0.000
0.000 0.000 3.103
N Be Te Cs
1 1 2 1
Direct
0.000 0.000 0.500
0.000 0.000 0.000
0.000 0.500 0.000
0.500 0.000 0.000
0.500 0.500 0.500
```

mass density: 4.767 g/cm3


(x)
First-principles (GGA-PBE) data for a relaxed structure of CsBeTe2N, as listed in Alexandria.

```
CsBeTe2N
1.0
-4.234 4.848 1.372
0.935 -1.005 6.437
3.122 2.734 -0.026
Be Te N Cs
1 2 1 1
Direct
0.500 0.500 0.500
0.500 0.000 0.000
0.000 0.500 0.000
0.000 0.000 0.500
0.000 0.000 0.000
```

mass density: 3.798 g/cm3


Name the least stable of them. (x).


(w)
First-principles (GGA-PBE) data for a relaxed structure of CsBeTeN2, as listed in Alexandria.

```
CsBeTeN2
1.0
4.347 0.000 0.000
0.000 4.347 0.000
0.000 0.000 7.908
N Te Be Cs
2 1 1 1
Direct
0.500 0.000 0.000
0.000 0.500 0.000
0.000 0.000 0.500
0.500 0.500 0.500
0.000 0.000 0.000
```

mass density: 3.306 g/cm3


(x)
First-principles (GGA-PBE) data for a relaxed structure of CsBeTeN2, as listed in Alexandria.

```
CsBeTeN2
1.0
-1.565 -4.317 1.451
0.431 -1.667 -4.497
4.583 -1.346 0.938
N Te Cs Be
2 1 1 1
Direct
0.500 0.000 0.000
0.000 0.500 0.000
0.000 0.000 0.500
0.500 0.500 0.500
0.000 0.000 0.000
```

mass density: 4.377 g/cm3


Name the least stable of them. (w).